Material: FeAs
Method: DFT, GGA-PBE
State: optimized geometry

Results
E = -6.406 eV per atom
formation energy from the elements = 0.15 eV/atom
DOS at the Fermi energy = 0.75 states/eV per atom

Cell and atoms, written as CIF:
```
data_FeAs
_cell_length_a 3.8608
_cell_length_b 3.8608
_cell_length_c 17.1284
_cell_angle_alpha 90.00
_cell_angle_beta 90.00
_cell_angle_gamma 120.00
_space_group_name_H-M_alt 'R -3 m'
_space_group_IT_number 166
_space_group_name_Hall '-R 3 2"'
loop_
_atom_site_label
_atom_site_type_symbol
_atom_site_fract_x
_atom_site_fract_y
_atom_site_fract_z
_atom_site_occupancy
Fe1 Fe 0.0000 0.0000 0.1452 1
As1 As 0.0000 0.0000 0.4201 1
```

Material: KFeNi
Method: DFT, GGA-PBE
State: optimized geometry

Results
E = -3.788 eV per atom
formation energy from the elements = 1.33 eV/atom
DOS at the Fermi energy = 1.32 states/eV per atom

Cell and atoms, written as CIF:
```
data_KFeNi
_cell_length_a 6.481
_cell_length_b 6.481
_cell_length_c 6.481
_cell_angle_alpha 90.00
_cell_angle_beta 90.00
_cell_angle_gamma 90.00
_space_group_name_H-M_alt 'F -4 3 m'
_space_group_IT_number 216
_space_group_name_Hall 'F -4 2 3'
loop_
_atom_site_label
_atom_site_type_symbol
_atom_site_fract_x
_atom_site_fract_y
_atom_site_fract_z
_atom_site_occupancy
K1 K 0.000 0.000 0.000 1
Fe1 Fe 0.000 0.000 0.500 1
Ni1 Ni 0.250 0.250 0.250 1
```

Material: La5PmPr6
Method: DFT, GGA-PBE
State: optimized geometry

Results
E = -4.827 eV per atom
formation energy from the elements = 0.01 eV/atom
DOS at the Fermi energy = 1.84 states/eV per atom

Cell and atoms, written as CIF:
```
data_La5PmPr6
_cell_length_a 6.450
_cell_length_b 11.180
_cell_length_c 12.321
_cell_angle_alpha 90.00
_cell_angle_beta 100.21
_cell_angle_gamma 90.00
_space_group_name_H-M_alt 'C 1 2/m 1'
_space_group_IT_number 12
loop_
_space_group_symop_operation_xyz
'x,y,z'
'-x,-y,-z'
'-x,y,-z'
'x,-y,z'
'x+1/2,y+1/2,z'
'-x+1/2,-y+1/2,-z'
'-x+1/2,y+1/2,-z'
'x+1/2,-y+1/2,z'
loop_
_atom_site_label
_atom_site_type_symbol
_atom_site_fract_x
_atom_site_fract_y
_atom_site_fract_z
_atom_site_occupancy
La1 La 0.000 0.000 0.000 1
La2 La 0.000 0.167 0.500 1
La3 La 0.000 0.334 0.000 1
Pm1 Pm 0.000 0.500 0.500 1
Pr1 Pr 0.249 0.334 0.749 1
Pr2 Pr 0.250 0.000 0.749 1
```

Material: MgCd2Sn2
Method: DFT, GGA-PBE
State: optimized geometry

Results
E = -2.188 eV per atom
formation energy from the elements = 0.10 eV/atom
DOS at the Fermi energy = 0.48 states/eV per atom

Cell and atoms, written as CIF:
```
data_MgCd2Sn2
_cell_length_a 4.153
_cell_length_b 4.153
_cell_length_c 15.503
_cell_angle_alpha 90.00
_cell_angle_beta 90.00
_cell_angle_gamma 90.00
_space_group_name_H-M_alt 'I 4/m m m'
_space_group_IT_number 139
_space_group_name_Hall '-I 4 2'
loop_
_atom_site_label
_atom_site_type_symbol
_atom_site_fract_x
_atom_site_fract_y
_atom_site_fract_z
_atom_site_occupancy
Mg1 Mg 0.000 0.000 0.000 1
Cd1 Cd 0.000 0.500 0.250 1
Sn1 Sn 0.000 0.000 0.400 1
```

Material: Rb3AlBi
Method: DFT, GGA-PBE
State: optimized geometry

Results
E = -1.730 eV per atom
formation energy from the elements = 0.38 eV/atom
DOS at the Fermi energy = 2.41 states/eV per atom

Cell and atoms, written as CIF:
```
data_Rb3AlBi
_cell_length_a 7.159
_cell_length_b 7.159
_cell_length_c 7.159
_cell_angle_alpha 90.00
_cell_angle_beta 90.00
_cell_angle_gamma 90.00
_space_group_name_H-M_alt 'P m -3 m'
_space_group_IT_number 221
_space_group_name_Hall '-P 4 2 3'
loop_
_atom_site_label
_atom_site_type_symbol
_atom_site_fract_x
_atom_site_fract_y
_atom_site_fract_z
_atom_site_occupancy
Rb1 Rb 0.000 0.000 0.500 1
Al1 Al 0.500 0.500 0.500 1
Bi1 Bi 0.000 0.000 0.000 1
```

Material: NiW
Method: DFT, GGA-PBE
State: optimized geometry

Results
E = -9.114 eV per atom
formation energy from the elements = 0.25 eV/atom
DOS at the Fermi energy = 1.12 states/eV per atom

Cell and atoms, written as CIF:
```
data_NiW
_cell_length_a 2.7279
_cell_length_b 2.7279
_cell_length_c 26.0215
_cell_angle_alpha 90.00
_cell_angle_beta 90.00
_cell_angle_gamma 120.00
_space_group_name_H-M_alt 'R -3 m'
_space_group_IT_number 166
_space_group_name_Hall '-R 3 2"'
loop_
_atom_site_label
_atom_site_type_symbol
_atom_site_fract_x
_atom_site_fract_y
_atom_site_fract_z
_atom_site_occupancy
Ni1 Ni 0.0000 0.0000 0.1284 1
W1 W 0.0000 0.0000 0.3814 1
```

Material: Er4ScAg3
Method: DFT, GGA-PBE
State: optimized geometry

Results
E = -4.332 eV per atom
formation energy from the elements = -0.19 eV/atom
DOS at the Fermi energy = 0.88 states/eV per atom

Cell and atoms, written as CIF:
```
data_Er4ScAg3
_cell_length_a 3.609
_cell_length_b 5.161
_cell_length_c 10.433
_cell_angle_alpha 90.00
_cell_angle_beta 90.00
_cell_angle_gamma 90.00
_space_group_name_H-M_alt 'P m m m'
_space_group_IT_number 47
loop_
_space_group_symop_operation_xyz
'x,y,z'
'-x,-y,-z'
'-x,-y,z'
'x,y,-z'
'x,-y,-z'
'-x,y,z'
'-x,y,-z'
'x,-y,z'
loop_
_atom_site_label
_atom_site_type_symbol
_atom_site_fract_x
_atom_site_fract_y
_atom_site_fract_z
_atom_site_occupancy
Er1 Er 0.000 0.000 0.000 1
Er2 Er 0.000 0.000 0.500 1
Er3 Er 0.000 0.500 0.239 1
Sc1 Sc 0.500 0.500 0.500 1
Ag1 Ag 0.500 0.000 0.258 1
Ag2 Ag 0.500 0.500 0.000 1
```

Material: MgNi2As
Method: DFT, GGA-PBE
State: optimized geometry

Results
E = -4.628 eV per atom
formation energy from the elements = -0.18 eV/atom
DOS at the Fermi energy = 0.61 states/eV per atom

Cell and atoms, written as CIF:
```
data_MgNi2As
_cell_length_a 3.032
_cell_length_b 3.404
_cell_length_c 5.463
_cell_angle_alpha 90.00
_cell_angle_beta 90.00
_cell_angle_gamma 90.00
_space_group_name_H-M_alt 'P m m 2'
_space_group_IT_number 25
loop_
_space_group_symop_operation_xyz
'x,y,z'
'-x,-y,z'
'-x,y,z'
'x,-y,z'
loop_
_atom_site_label
_atom_site_type_symbol
_atom_site_fract_x
_atom_site_fract_y
_atom_site_fract_z
_atom_site_occupancy
Mg1 Mg 0.000 0.000 0.000 1
Ni1 Ni 0.000 0.000 0.489 1
Ni2 Ni 0.500 0.500 0.238 1
As1 As 0.500 0.500 0.666 1
```

Material: KCaZn
Method: DFT, GGA-PBE
State: optimized geometry

Results
E = -1.365 eV per atom
formation energy from the elements = 0.09 eV/atom
DOS at the Fermi energy = 0.81 states/eV per atom

Cell and atoms, written as CIF:
```
data_KCaZn
_cell_length_a 4.748
_cell_length_b 6.600
_cell_length_c 3.919
_cell_angle_alpha 90.00
_cell_angle_beta 90.00
_cell_angle_gamma 90.00
_space_group_name_H-M_alt 'P m m 2'
_space_group_IT_number 25
loop_
_space_group_symop_operation_xyz
'x,y,z'
'-x,-y,z'
'-x,y,z'
'x,-y,z'
loop_
_atom_site_label
_atom_site_type_symbol
_atom_site_fract_x
_atom_site_fract_y
_atom_site_fract_z
_atom_site_occupancy
K1 K 0.000 0.000 0.000 1
Ca1 Ca 0.500 0.500 0.019 1
Zn1 Zn 0.000 0.500 0.518 1
```

Material: RbTlSnBr4
Method: DFT, GGA-PBE
State: optimized geometry

Results
E = -3.055 eV per atom
raw formation energy = -1.0515 eV per atom

Cell and atoms, written as CIF:
```
data_RbTlSnBr4
_cell_length_a 5.848
_cell_length_b 5.848
_cell_length_c 17.079
_cell_angle_alpha 90.00
_cell_angle_beta 90.00
_cell_angle_gamma 90.00
_space_group_name_H-M_alt 'I 4 m m'
_space_group_IT_number 107
_space_group_name_Hall 'I 4 -2'
loop_
_atom_site_label
_atom_site_type_symbol
_atom_site_fract_x
_atom_site_fract_y
_atom_site_fract_z
_atom_site_occupancy
Rb1 Rb 0.000 0.000 0.000 1
Tl1 Tl 0.000 0.000 0.722 1
Sn1 Sn 0.000 0.000 0.363 1
Br1 Br 0.000 0.000 0.197 1
Br2 Br 0.000 0.000 0.545 1
Br3 Br 0.000 0.500 0.366 1
```

Material: Tm4Si8Ni
Method: DFT, GGA-PBE
State: optimized geometry

Results
E = -5.748 eV per atom
raw formation energy = -0.5903 eV per atom
DOS at the Fermi energy = 0.34 states/eV per atom

Cell and atoms, written as CIF:
```
data_Tm4Si8Ni
_cell_length_a 3.815
_cell_length_b 3.914
_cell_length_c 15.872
_cell_angle_alpha 90.00
_cell_angle_beta 90.00
_cell_angle_gamma 90.00
_space_group_name_H-M_alt 'P m m 2'
_space_group_IT_number 25
loop_
_space_group_symop_operation_xyz
'x,y,z'
'-x,-y,z'
'-x,y,z'
'x,-y,z'
loop_
_atom_site_label
_atom_site_type_symbol
_atom_site_fract_x
_atom_site_fract_y
_atom_site_fract_z
_atom_site_occupancy
Tm1 Tm 0.000 0.000 0.000 1
Tm2 Tm 0.000 0.500 0.496 1
Tm3 Tm 0.500 0.000 0.788 1
Tm4 Tm 0.500 0.500 0.287 1
Si1 Si 0.000 0.000 0.344 1
Si2 Si 0.000 0.000 0.634 1
Si3 Si 0.000 0.500 0.142 1
Si4 Si 0.000 0.500 0.852 1
Si5 Si 0.500 0.000 0.146 1
Si6 Si 0.500 0.000 0.435 1
Si7 Si 0.500 0.500 0.633 1
Si8 Si 0.500 0.500 0.942 1
Ni1 Ni 0.000 0.500 0.709 1
```

Material: LaHo4Tl7
Method: DFT, GGA-PBE
State: optimized geometry

Results
E = -3.422 eV per atom
formation energy from the elements = -0.11 eV/atom
DOS at the Fermi energy = 0.69 states/eV per atom

Cell and atoms, written as CIF:
```
data_LaHo4Tl7
_cell_length_a 13.343
_cell_length_b 5.810
_cell_length_c 11.511
_cell_angle_alpha 90.00
_cell_angle_beta 124.26
_cell_angle_gamma 90.00
_space_group_name_H-M_alt 'C 1 2/m 1'
_space_group_IT_number 12
loop_
_space_group_symop_operation_xyz
'x,y,z'
'-x,-y,-z'
'-x,y,-z'
'x,-y,z'
'x+1/2,y+1/2,z'
'-x+1/2,-y+1/2,-z'
'-x+1/2,y+1/2,-z'
'x+1/2,-y+1/2,z'
loop_
_atom_site_label
_atom_site_type_symbol
_atom_site_fract_x
_atom_site_fract_y
_atom_site_fract_z
_atom_site_occupancy
La1 La 0.000 0.000 0.000 1
Ho1 Ho 0.086 0.500 0.783 1
Ho2 Ho 0.220 0.500 0.330 1
Tl1 Tl 0.000 0.500 0.000 1
Tl2 Tl 0.078 0.000 0.332 1
Tl3 Tl 0.136 0.500 0.547 1
Tl4 Tl 0.215 0.000 0.894 1
```

Material: Mg2ZrAgOs
Method: DFT, GGA-PBE
State: optimized geometry

Results
E = -3.769 eV per atom
formation energy from the elements = 1.39 eV/atom
DOS at the Fermi energy = 0.99 states/eV per atom

Cell and atoms, written as CIF:
```
data_Mg2ZrAgOs
_cell_length_a 5.509
_cell_length_b 5.509
_cell_length_c 4.705
_cell_angle_alpha 90.00
_cell_angle_beta 90.00
_cell_angle_gamma 90.00
_space_group_name_H-M_alt 'P 4/m m m'
_space_group_IT_number 123
_space_group_name_Hall '-P 4 2'
loop_
_atom_site_label
_atom_site_type_symbol
_atom_site_fract_x
_atom_site_fract_y
_atom_site_fract_z
_atom_site_occupancy
Mg1 Mg 0.000 0.500 0.000 1
Zr1 Zr 0.000 0.000 0.000 1
Ag1 Ag 0.500 0.500 0.500 1
Os1 Os 0.000 0.000 0.500 1
```

Material: CsTlGaHg2
Method: DFT, GGA-PBE
State: optimized geometry

Results
E = -1.416 eV per atom
formation energy from the elements = -0.05 eV/atom
DOS at the Fermi energy = 0.48 states/eV per atom

Cell and atoms, written as CIF:
```
data_CsTlGaHg2
_cell_length_a 5.529
_cell_length_b 5.529
_cell_length_c 5.875
_cell_angle_alpha 90.00
_cell_angle_beta 90.00
_cell_angle_gamma 90.00
_space_group_name_H-M_alt 'P 4/m m m'
_space_group_IT_number 123
_space_group_name_Hall '-P 4 2'
loop_
_atom_site_label
_atom_site_type_symbol
_atom_site_fract_x
_atom_site_fract_y
_atom_site_fract_z
_atom_site_occupancy
Cs1 Cs 0.000 0.000 0.000 1
Tl1 Tl 0.500 0.500 0.000 1
Ga1 Ga 0.500 0.500 0.500 1
Hg1 Hg 0.000 0.500 0.500 1
```